[1]
A plane-wave DFT calculation with SCAN was carried out for Hf2CrFeH at its PBEsol-relaxed geometry.

It has space group P4/mmm (No. 123), with a = 4.438 Å, b = 4.438 Å, c = 3.246 Å, α = 90.00°, β = 90.00° and γ = 90.00°. Symmetry generates all atoms from Hf at (0.000, 0.500, 0.000), Cr at (0.000, 0.000, 0.500), Fe at (0.500, 0.500, 0.500) and H at (0.500, 0.500, 0.000).

The mass density comes out at 12.098 Mg/m³. The volume is 64 Å³ per cell. The calculation puts the density of states at the Fermi level at 4.48 states/eV/cell. The total energy comes out at -166.1 eV/f.u.


[2]
A plane-wave DFT calculation with SCAN was carried out for CrFeHg2 at its PBEsol-relaxed geometry.

It has space group P4/mmm (No. 123), with a = 2.987 Å, b = 2.987 Å, c = 7.398 Å, α = 90.00°, β = 90.00° and γ = 90.00°. Symmetry generates all atoms from Cr at (0.000, 0.000, 0.000), Fe at (0.000, 0.000, 0.500) and Hg at (0.500, 0.500, 0.256).

The mass density comes out at 12.805 Mg/m³. The volume is 66 Å³ per cell. The calculation puts the density of states at the Fermi level at 2.04 states/eV/cell. The energy relative to the lowest polymorph listed for this composition is 1 meV per atom. The value obtained for the energy of formation from the pure elements is 0.30 eV/atom.


[3]
A plane-wave DFT calculation with SCAN was carried out for CrFeHg2 at its PBEsol-relaxed geometry.

It has space group I4/mmm (No. 139), with a = 4.195 Å, b = 4.195 Å, c = 7.435 Å, α = 90.00°, β = 90.00° and γ = 90.00°. Symmetry generates all atoms from Cr at (0.000, 0.000, 0.000), Fe at (0.000, 0.000, 0.500) and Hg at (0.000, 0.500, 0.250).

The mass density comes out at 12.919 Mg/m³. The volume is 131 Å³ per cell. The calculation puts the density of states at the Fermi level at 5.15 states/eV/cell. The energy relative to the lowest polymorph listed for this composition is 17 meV per atom. The value obtained for the energy of formation from the pure elements is 0.32 eV/atom.


[4]
A plane-wave DFT calculation with SCAN was carried out for CrFe2Hg at its PBEsol-relaxed geometry.

It has space group I4/mmm (No. 139), with a = 3.730 Å, b = 3.730 Å, c = 7.704 Å, α = 90.00°, β = 90.00° and γ = 90.00°. Symmetry generates all atoms from Cr at (0.000, 0.000, 0.000), Fe at (0.000, 0.500, 0.250) and Hg at (0.000, 0.000, 0.500).

The mass density comes out at 11.288 Mg/m³. The volume is 107 Å³ per cell. The calculation puts the density of states at the Fermi level at 6.01 states/eV/cell. The value obtained for the energy of formation from the pure elements is 0.25 eV/atom.


[5]
A plane-wave DFT calculation with SCAN was carried out for CrFeHg at its PBEsol-relaxed geometry.

It has space group F-43m (No. 216), with a = 5.911 Å, b = 5.911 Å, c = 5.911 Å, α = 90.00°, β = 90.00° and γ = 90.00°. Symmetry generates all atoms from Cr at (0.000, 0.000, 0.000), Fe at (0.250, 0.250, 0.250) and Hg at (0.000, 0.000, 0.500).

The mass density comes out at 9.918 Mg/m³. The volume is 207 Å³ per cell. The calculation puts the density of states at the Fermi level at 11.93 states/eV/cell. The value obtained for the energy of formation from the pure elements is 0.50 eV/atom.


[6]
A plane-wave DFT calculation with SCAN was carried out for CrFe2Hg at its PBEsol-relaxed geometry.

It has space group P4mm (No. 99), with a = 2.807 Å, b = 2.807 Å, c = 6.746 Å, α = 90.00°, β = 90.00° and γ = 90.00°. Symmetry generates all atoms from Cr at (0.000, 0.000, 0.000), Fe at (0.000, 0.000, 0.403), Fe at (0.500, 0.500, 0.182) and Hg at (0.500, 0.500, 0.696).

The mass density comes out at 11.379 Mg/m³. The volume is 53 Å³ per cell. The calculation puts the density of states at the Fermi level at 2.47 states/eV/cell. The value obtained for the energy of formation from the pure elements is 0.28 eV/atom.


[7]
A plane-wave DFT calculation with SCAN was carried out for CrFeHg2 at its PBEsol-relaxed geometry.

It has space group Pmmm (No. 47), with a = 2.994 Å, b = 3.716 Å, c = 5.908 Å, α = 90.00°, β = 90.00° and γ = 90.00°. Symmetry generates all atoms from Cr at (0.000, 0.000, 0.000), Fe at (0.000, 0.000, 0.500) and Hg at (0.500, 0.500, 0.255).

The mass density comes out at 12.858 Mg/m³. The volume is 66 Å³ per cell. The calculation puts the density of states at the Fermi level at 1.83 states/eV/cell. The energy relative to the lowest polymorph listed for this composition is 0 meV per atom. The value obtained for the energy of formation from the pure elements is 0.30 eV/atom.


[8]
A plane-wave DFT calculation with SCAN was carried out for CrFeHg2 at its PBEsol-relaxed geometry.

It has space group Cm (No. 8), with a = 9.999 Å, b = 2.891 Å, c = 4.701 Å, α = 90.00°, β = 110.33° and γ = 90.00°. Symmetry generates all atoms from Cr at (0.000, 0.000, 0.000), Fe at (0.309, 0.000, 0.746), Hg at (0.049, 0.500, 0.542) and Hg at (0.265, 0.500, 0.209).

The mass density comes out at 13.264 Mg/m³. The volume is 127 Å³ per cell. The calculation puts the density of states at the Fermi level at 6.80 states/eV/cell. The energy relative to the lowest polymorph listed for this composition is 213 meV per atom. The value obtained for the energy of formation from the pure elements is 0.51 eV/atom.


[9]
A plane-wave DFT calculation with SCAN was carried out for CrFe2Hg at its PBEsol-relaxed geometry.

It has space group P4/mmm (No. 123), with a = 2.816 Å, b = 2.816 Å, c = 6.531 Å, α = 90.00°, β = 90.00° and γ = 90.00°. Symmetry generates all atoms from Cr at (0.000, 0.000, 0.000), Fe at (0.500, 0.500, 0.197) and Hg at (0.000, 0.000, 0.500).

The mass density comes out at 11.682 Mg/m³. The volume is 52 Å³ per cell. The calculation puts the density of states at the Fermi level at 4.22 states/eV/cell. The value obtained for the energy of formation from the pure elements is 0.42 eV/atom.


[10]
A plane-wave DFT calculation with SCAN was carried out for CrFeHg3 at its PBEsol-relaxed geometry.

It has space group Pm-3m (No. 221), with a = 5.059 Å, b = 5.059 Å, c = 5.059 Å, α = 90.00°, β = 90.00° and γ = 90.00°. Symmetry generates all atoms from Cr at (0.000, 0.000, 0.000), Fe at (0.500, 0.500, 0.500) and Hg at (0.000, 0.000, 0.500).

The mass density comes out at 9.101 Mg/m³. The volume is 129 Å³ per cell. The calculation puts the density of states at the Fermi level at 6.12 states/eV/cell. The value obtained for the energy of formation from the pure elements is 0.94 eV/atom.


[11]
A plane-wave DFT calculation with SCAN was carried out for CrFe3I at its PBEsol-relaxed geometry.

It has space group Pm-3m (No. 221), with a = 4.562 Å, b = 4.562 Å, c = 4.562 Å, α = 90.00°, β = 90.00° and γ = 90.00°. Symmetry generates all atoms from Cr at (0.000, 0.000, 0.000), Fe at (0.000, 0.500, 0.500) and I at (0.500, 0.500, 0.500).

The mass density comes out at 6.058 Mg/m³. The volume is 95 Å³ per cell. The calculation puts the density of states at the Fermi level at 2.93 states/eV/cell. For the formation energy (no corrections), the calculation gives 1635 meV/atom.


[12]
A plane-wave DFT calculation with SCAN was carried out for CrFeI3 at its PBEsol-relaxed geometry.

It has space group Pm-3m (No. 221), with a = 5.415 Å, b = 5.415 Å, c = 5.415 Å, α = 90.00°, β = 90.00° and γ = 90.00°. Symmetry generates all atoms from Cr at (0.000, 0.000, 0.000), Fe at (0.500, 0.500, 0.500) and I at (0.000, 0.000, 0.500).

The mass density comes out at 5.108 Mg/m³. The volume is 159 Å³ per cell. The calculation puts the density of states at the Fermi level at 8.73 states/eV/cell. For the formation energy (no corrections), the calculation gives 344 meV/atom. The energy relative to the lowest polymorph listed for this composition is 0 meV per atom.


[13]
A plane-wave DFT calculation with SCAN was carried out for CrFe2PdI at its PBEsol-relaxed geometry.

It has space group P4/mmm (No. 123), with a = 4.640 Å, b = 4.640 Å, c = 4.898 Å, α = 90.00°, β = 90.00° and γ = 90.00°. Symmetry generates all atoms from Cr at (0.000, 0.000, 0.000), Fe at (0.000, 0.500, 0.500), Pd at (0.000, 0.000, 0.500) and I at (0.500, 0.500, 0.000).

The mass density comes out at 6.251 Mg/m³. The volume is 105 Å³ per cell. The calculation puts the density of states at the Fermi level at 4.77 states/eV/cell. For the formation energy (no corrections), the calculation gives 874 meV/atom.


[14]
A plane-wave DFT calculation with SCAN was carried out for CrIn2Fe at its PBEsol-relaxed geometry.

It has space group I4/mmm (No. 139), with a = 4.133 Å, b = 4.133 Å, c = 7.547 Å, α = 90.00°, β = 90.00° and γ = 90.00°. Symmetry generates all atoms from Cr at (0.000, 0.000, 0.000), In at (0.000, 0.500, 0.250) and Fe at (0.000, 0.000, 0.500).

The mass density comes out at 8.694 Mg/m³. The volume is 129 Å³ per cell. The calculation puts the density of states at the Fermi level at 5.18 states/eV/cell. The energy relative to the lowest polymorph listed for this composition is 0 meV per atom. The value obtained for the energy of formation from the pure elements is 0.18 eV/atom.


[15]
A plane-wave DFT calculation with SCAN was carried out for CrIn2Fe at its PBEsol-relaxed geometry.

It has space group R-3m (No. 166, hexagonal axes), with a = 2.9949 Å, b = 2.9949 Å, c = 26.1339 Å, α = 90.00°, β = 90.00° and γ = 120.00°. Symmetry generates all atoms from Cr at (0.0000, 0.0000, 0.0000), In at (0.0000, 0.0000, 0.2477) and Fe at (0.0000, 0.0000, 0.5000).

The mass density comes out at 8.282 Mg/m³. The volume is 203 Å³ per cell. The calculation puts the density of states at the Fermi level at 6.43 states/eV/cell. The energy relative to the lowest polymorph listed for this composition is 166 meV per atom. The value obtained for the energy of formation from the pure elements is 0.35 eV/atom.


[16]
A plane-wave DFT calculation with SCAN was carried out for Cr2InFe at its PBEsol-relaxed geometry.

It has space group P4/mmm (No. 123), with a = 2.663 Å, b = 2.663 Å, c = 7.323 Å, α = 90.00°, β = 90.00° and γ = 90.00°. Symmetry generates all atoms from Cr at (0.000, 0.000, 0.210), In at (0.500, 0.500, 0.500) and Fe at (0.500, 0.500, 0.000).

The mass density comes out at 8.783 Mg/m³. The volume is 52 Å³ per cell. The calculation puts the density of states at the Fermi level at 2.11 states/eV/cell. The value obtained for the energy of formation from the pure elements is 0.51 eV/atom.


[17]
A plane-wave DFT calculation with SCAN was carried out for CrFeIr at its PBEsol-relaxed geometry.

It has space group P-6m2 (No. 187), with a = 3.9821 Å, b = 3.9821 Å, c = 2.5913 Å, α = 90.00°, β = 90.00° and γ = 120.00°. Symmetry generates all atoms from Cr at (0.0000, 0.0000, 0.0000), Fe at (0.3333, 0.6667, 0.0000) and Ir at (0.6667, 0.3333, 0.5000).

The mass density comes out at 14.002 Mg/m³. The volume is 36 Å³ per cell. The calculation puts the density of states at the Fermi level at 2.23 states/eV/cell. The value obtained for the energy of formation from the pure elements is -0.13 eV/atom.


[18]
A plane-wave DFT calculation with SCAN was carried out for CrFeIr2 at its PBEsol-relaxed geometry.

It has space group Imm2 (No. 44), with a = 2.769 Å, b = 4.227 Å, c = 8.685 Å, α = 90.00°, β = 90.00° and γ = 90.00°. Symmetry generates all atoms from Cr at (0.000, 0.000, 0.000), Fe at (0.000, 0.500, 0.709), Ir at (0.000, 0.000, 0.453) and Ir at (0.000, 0.500, 0.240).

The mass density comes out at 16.082 Mg/m³. The volume is 102 Å³ per cell. The calculation puts the density of states at the Fermi level at 7.35 states/eV/cell. The value obtained for the energy of formation from the pure elements is -0.03 eV/atom.


[19]
A plane-wave DFT calculation with SCAN was carried out for Cr2FeIr at its PBEsol-relaxed geometry.

It has space group Pmm2 (No. 25), with a = 2.600 Å, b = 4.063 Å, c = 4.433 Å, α = 90.00°, β = 90.00° and γ = 90.00°. Symmetry generates all atoms from Cr at (0.000, 0.000, 0.000), Cr at (0.000, 0.500, 0.332), Fe at (0.500, 0.500, 0.864) and Ir at (0.500, 0.000, 0.503).

The mass density comes out at 12.483 Mg/m³. The volume is 47 Å³ per cell. The calculation puts the density of states at the Fermi level at 4.58 states/eV/cell. The energy relative to the lowest polymorph listed for this composition is 89 meV per atom. The value obtained for the energy of formation from the pure elements is -0.02 eV/atom.


[20]
A plane-wave DFT calculation with SCAN was carried out for Cr2FeIr at its PBEsol-relaxed geometry.

It has space group F-43m (No. 216), with a = 5.763 Å, b = 5.763 Å, c = 5.763 Å, α = 90.00°, β = 90.00° and γ = 90.00°. Symmetry generates all atoms from Cr at (0.000, 0.000, 0.000), Cr at (0.250, 0.250, 0.250), Fe at (0.250, 0.250, 0.750) and Ir at (0.000, 0.000, 0.500).

The mass density comes out at 12.215 Mg/m³. The volume is 191 Å³ per cell. The calculation puts the density of states at the Fermi level at 17.92 states/eV/cell. The energy relative to the lowest polymorph listed for this composition is 37 meV per atom. The value obtained for the energy of formation from the pure elements is -0.07 eV/atom.